Run a
# CaCrTe2 | Alexandria via LeMat-Bulk | meta-GGA SCAN | PBEsol geometry
data_CaCrTe2
_cell_length_a 5.1615
_cell_length_b 5.1615
_cell_length_c 3.6840
_cell_angle_alpha 90.00
_cell_angle_beta 90.00
_cell_angle_gamma 90.00
_space_group_name_H-M_alt 'P 4/m m m'
_space_group_IT_number 123
_space_group_name_Hall '-P 4 2'
loop_
_atom_site_label
_atom_site_type_symbol
_atom_site_fract_x
_atom_site_fract_y
_atom_site_fract_z
_atom_site_occupancy
Ca1 Ca 0.0000 0.0000 0.0000 1
Cr1 Cr 0.5000 0.5000 0.0000 1
Te1 Te 0.0000 0.5000 0.5000 1
# N(E_F) = 0.2753 states/eV/atom
# Mass density = 5875 kg/m³

Run b
# CaCrTe2 | Alexandria via LeMat-Bulk | meta-GGA SCAN | PBEsol geometry
data_CaCrTe2
_cell_length_a 3.9573
_cell_length_b 3.9573
_cell_length_c 27.0974
_cell_angle_alpha 90.00
_cell_angle_beta 90.00
_cell_angle_gamma 120.00
_space_group_name_H-M_alt 'R -3 m'
_space_group_IT_number 166
_space_group_name_Hall '-R 3 2"'
loop_
_atom_site_label
_atom_site_type_symbol
_atom_site_fract_x
_atom_site_fract_y
_atom_site_fract_z
_atom_site_occupancy
Ca1 Ca 0.0000 0.0000 0.0000 1
Cr1 Cr 0.0000 0.0000 0.5000 1
Te1 Te 0.0000 0.0000 0.1128 1
# N(E_F) = 0.3897 states/eV/atom
# Mass density = 4708 kg/m³

What should be chosen as the most stable of them? Choose run a.

Run a
# CaY2Cr | Alexandria via LeMat-Bulk | meta-GGA SCAN | PBEsol geometry
data_CaY2Cr
_cell_length_a 5.2347
_cell_length_b 5.2347
_cell_length_c 3.9665
_cell_angle_alpha 90.00
_cell_angle_beta 90.00
_cell_angle_gamma 90.00
_space_group_name_H-M_alt 'P 4/m m m'
_space_group_IT_number 123
_space_group_name_Hall '-P 4 2'
loop_
_atom_site_label
_atom_site_type_symbol
_atom_site_fract_x
_atom_site_fract_y
_atom_site_fract_z
_atom_site_occupancy
Ca1 Ca 0.0000 0.0000 0.0000 1
Y1 Y 0.0000 0.5000 0.5000 1
Cr1 Cr 0.5000 0.5000 0.0000 1
# N(E_F) = 0.7431 states/eV/atom
# Mass density = 4123 kg/m³

Run b
# CaY2Cr | Alexandria via LeMat-Bulk | meta-GGA SCAN | PBEsol geometry
data_CaY2Cr
_cell_length_a 6.5313
_cell_length_b 10.9886
_cell_length_c 3.3365
_cell_angle_alpha 90.00
_cell_angle_beta 112.00
_cell_angle_gamma 90.00
_space_group_name_H-M_alt 'C 1 2/m 1'
_space_group_IT_number 12
_space_group_name_Hall '-C 2y'
loop_
_atom_site_label
_atom_site_type_symbol
_atom_site_fract_x
_atom_site_fract_y
_atom_site_fract_z
_atom_site_occupancy
Ca1 Ca 0.0000 0.0000 0.0000 1
Y1 Y 0.2500 0.2500 0.5000 1
Cr1 Cr 0.0000 0.5000 0.0000 1
# N(E_F) = 1.1394 states/eV/atom
# Mass density = 4037 kg/m³

Run c
# CaY2Cr | Alexandria via LeMat-Bulk | meta-GGA SCAN | PBEsol geometry
data_CaY2Cr
_cell_length_a 7.5690
_cell_length_b 7.5690
_cell_length_c 7.5690
_cell_angle_alpha 90.00
_cell_angle_beta 90.00
_cell_angle_gamma 90.00
_space_group_name_H-M_alt 'F -4 3 m'
_space_group_IT_number 216
_space_group_name_Hall 'F -4 2 3'
loop_
_atom_site_label
_atom_site_type_symbol
_atom_site_fract_x
_atom_site_fract_y
_atom_site_fract_z
_atom_site_occupancy
Ca1 Ca 0.0000 0.0000 0.0000 1
Y1 Y 0.0000 0.0000 0.5000 1
Y2 Y 0.2500 0.2500 0.2500 1
Cr1 Cr 0.2500 0.2500 0.7500 1
# N(E_F) = 0.4372 states/eV/atom
# Mass density = 4134 kg/m³

Run d
# CaY2Cr | Alexandria via LeMat-Bulk | meta-GGA SCAN | PBEsol geometry
data_CaY2Cr
_cell_length_a 3.5195
_cell_length_b 3.5195
_cell_length_c 31.7271
_cell_angle_alpha 90.00
_cell_angle_beta 90.00
_cell_angle_gamma 120.00
_space_group_name_H-M_alt 'R -3 m'
_space_group_IT_number 166
_space_group_name_Hall '-R 3 2"'
loop_
_atom_site_label
_atom_site_type_symbol
_atom_site_fract_x
_atom_site_fract_y
_atom_site_fract_z
_atom_site_occupancy
Ca1 Ca 0.0000 0.0000 0.0000 1
Y1 Y 0.0000 0.0000 0.2331 1
Cr1 Cr 0.0000 0.0000 0.5000 1
# N(E_F) = 1.0998 states/eV/atom
# Mass density = 3950 kg/m³

What should be chosen as the most stable of them? Choose run a.